No. 1
Here is a relaxed structure of Tb2AlTl from Alexandria. Energies are from GGA-PBE.

a = 9.6449 Å, b = 9.6449 Å, c = 9.6449 Å
α = 22.04°, β = 22.04°, γ = 22.04°
Element x y z (fractional)
Tb  0.2451  0.2451  0.2451
Tb  0.7549  0.7549  0.7549
Al  0.5000  0.5000  0.5000
Tl  0.0000  0.0000  0.0000

- ΔH_f (0 K): -0.22 eV/atom
- Total DFT energy (no corrections): -4.063 eV per atom


No. 2
Here is a relaxed structure of Tb4Al3Tl from Alexandria. Energies are from GGA-PBE.

a = 3.6369 Å, b = 3.6369 Å, c = 14.9378 Å
α = 90.00°, β = 90.00°, γ = 90.00°
Element x y z (fractional)
Tb  0.0000  0.0000  0.1192
Tb  0.0000  0.0000  0.3618
Tb  0.0000  0.0000  0.6382
Tb  0.0000  0.0000  0.8808
Al  0.5000  0.5000  0.0000
Al  0.5000  0.5000  0.2407
Al  0.5000  0.5000  0.7593
Tl  0.5000  0.5000  0.5000

- Relative energy among the computed polymorphs: 0.0000 eV/atom
- ΔH_f (0 K): -0.39 eV/atom
- Total DFT energy (no corrections): -4.400 eV per atom


No. 3
Here is a relaxed structure of TbAlTl from Alexandria. Energies are from GGA-PBE.

a = 6.5517 Å, b = 6.5517 Å, c = 6.5517 Å
α = 149.16°, β = 149.16°, γ = 44.17°
Element x y z (fractional)
Tb  0.0000  0.0000  0.0000
Al  0.6580  0.6580  0.0000
Tl  0.3078  0.3078  0.0000

- Relative energy among the computed polymorphs: 0.1447 eV/atom
- ΔH_f (0 K): -0.14 eV/atom
- Total DFT energy (no corrections): -3.718 eV per atom


No. 4
Here is a relaxed structure of Tb7Al2Tl2 from Alexandria. Energies are from GGA-PBE.

a = 6.7207 Å, b = 6.7207 Å, c = 7.8936 Å
α = 90.00°, β = 90.00°, γ = 110.05°
Element x y z (fractional)
Tb  0.0000  0.0000  0.0000
Tb  0.0000  0.5000  0.2957
Tb  0.0000  0.5000  0.7043
Tb  0.5000  0.0000  0.2957
Tb  0.5000  0.0000  0.7043
Tb  0.5000  0.5000  0.2802
Tb  0.5000  0.5000  0.7198
Al  0.1686  0.1686  0.5000
Al  0.8314  0.8314  0.5000
Tl  0.2969  0.7031  0.0000
Tl  0.7031  0.2969  0.0000

- ΔH_f (0 K): 0.00 eV/atom
- Total DFT energy (no corrections): -4.053 eV per atom


No. 5
Here is a relaxed structure of TbAl2Tl from Alexandria. Energies are from GGA-PBE.

a = 4.4830 Å, b = 4.4830 Å, c = 4.3877 Å
α = 90.00°, β = 90.00°, γ = 90.00°
Element x y z (fractional)
Tb  0.0000  0.0000  0.0000
Al  0.0000  0.5000  0.5000
Al  0.5000  0.0000  0.5000
Tl  0.5000  0.5000  0.0000

- ΔH_f (0 K): -0.26 eV/atom
- Total DFT energy (no corrections): -3.884 eV per atom


No. 6
Here is a relaxed structure of Tb4Al3Tl from Alexandria. Energies are from GGA-PBE.

a = 4.2005 Å, b = 4.4935 Å, c = 11.2765 Å
α = 90.00°, β = 90.00°, γ = 90.00°
Element x y z (fractional)
Tb  0.0000  0.0000  0.0000
Tb  0.0000  0.5000  0.4878
Tb  0.5000  0.0000  0.7129
Tb  0.5000  0.5000  0.2162
Al  0.0000  0.0000  0.2822
Al  0.5000  0.0000  0.4276
Al  0.5000  0.5000  0.9366
Tl  0.0000  0.5000  0.7723

- Relative energy among the computed polymorphs: 0.0319 eV/atom
- ΔH_f (0 K): -0.35 eV/atom
- Total DFT energy (no corrections): -4.368 eV per atom


No. 7
Here is a relaxed structure of TbAlTl from Alexandria. Energies are from GGA-PBE.

a = 4.7903 Å, b = 4.7903 Å, c = 3.5786 Å
α = 90.00°, β = 90.00°, γ = 120.00°
Element x y z (fractional)
Tb  0.0000  0.0000  0.0000
Al  0.3333  0.6667  0.5011
Tl  0.6667  0.3333  0.4991

- Relative energy among the computed polymorphs: 0.0000 eV/atom
- ΔH_f (0 K): -0.28 eV/atom
- Total DFT energy (no corrections): -3.863 eV per atom


No. 8
Here is a relaxed structure of Tb4AlTl from Alexandria. Energies are from GGA-PBE.

a = 11.4459 Å, b = 11.4459 Å, c = 6.5244 Å
α = 90.00°, β = 90.00°, γ = 153.32°
Element x y z (fractional)
Tb  0.0668  0.9332  0.5000
Tb  0.1994  0.8006  0.7571
Tb  0.2084  0.7916  0.2731
Tb  0.3659  0.6341  0.5217
Tb  0.6341  0.3659  0.0217
Tb  0.7916  0.2084  0.7731
Tb  0.8006  0.1994  0.2571
Tb  0.9332  0.0668  0.0000
Al  0.3344  0.6656  0.0140
Al  0.6656  0.3344  0.5140
Tl  0.0695  0.9305  0.0029
Tl  0.9305  0.0695  0.5029

- Relative energy among the computed polymorphs: 0.1759 eV/atom
- ΔH_f (0 K): -0.05 eV/atom
- Total DFT energy (no corrections): -4.150 eV per atom


Calculated magnetization, 0.0; 0.0; 0.0; 0.0; 0.0; 0.0; 0.0; 0.0 μB per cell (same order as the records).